Ga2Pd8Au | GGA-PBE | relaxed

Cell lengths 4.085, 6.997, 7.310 Å; angles 118.60, 106.23, 90.00 degrees
Fractional positions:
1 Pd 0.339 0.558 0.679
2 Pd 0.661 0.442 0.321
3 Pd 0.661 0.879 0.321
4 Pd 0.000 0.305 0.000
5 Pd 0.153 0.153 0.306
6 Pd 0.000 0.695 0.000
7 Pd 0.847 0.847 0.694
8 Pd 0.339 0.121 0.679
9 Au 0.500 0.000 0.000
10 Ga 0.808 0.308 0.616
11 Ga 0.192 0.692 0.384

Results
ΔE_f, eV/atom: -0.348
Total moment, μB/f.u.: 0.00
Calculated volume, Å³ per atom: 15.8
Space-group type: No. 71



GaPd2Au6 | GGA-PBE | relaxed

Cell lengths 5.088, 7.775, 7.079 Å; angles 127.72, 120.20, 95.25 degrees
Fractional positions:
1 Ga 0.000 0.000 0.000
2 Pd 0.305 0.307 0.620
3 Pd 0.695 0.693 0.380
4 Au 0.762 0.428 0.537
5 Au 0.911 0.232 0.791
6 Au 0.536 0.873 0.105
7 Au 0.238 0.572 0.463
8 Au 0.464 0.127 0.895
9 Au 0.089 0.768 0.209

Results
ΔE_f, eV/atom: -0.123
Total moment, μB/f.u.: 0.00
Calculated volume, Å³ per atom: 17.3
Space-group type: No. 2



Ga3Pd6Au | GGA-PBE | relaxed

Cell lengths 5.896, 7.636, 7.636 Å; angles 107.39, 90.00, 90.00 degrees
Fractional positions:
1 Ga 0.933 0.043 0.286
2 Ga 0.806 0.584 0.416
3 Ga 0.433 0.286 0.043
4 Ga 0.933 0.714 0.957
5 Ga 0.433 0.957 0.714
6 Ga 0.306 0.416 0.584
7 Pd 0.619 0.664 0.724
8 Pd 0.810 0.937 0.551
9 Pd 0.310 0.551 0.937
10 Pd 0.619 0.276 0.336
11 Pd 0.617 0.275 0.725
12 Pd 0.119 0.336 0.276
13 Pd 0.258 0.965 0.035
14 Pd 0.117 0.725 0.275
15 Pd 0.758 0.035 0.965
16 Pd 0.119 0.724 0.664
17 Pd 0.810 0.449 0.063
18 Pd 0.310 0.063 0.449
19 Au 0.082 0.205 0.795
20 Au 0.582 0.795 0.205

Results
ΔE_f, eV/atom: -0.435
Total moment, μB/f.u.: 0.00
Calculated volume, Å³ per atom: 16.4
Space-group type: No. 36



GaPdAu | GGA-PBE | relaxed

Cell lengths 3.400, 7.050, 7.050 Å; angles 120.00, 90.00, 90.00 degrees
Fractional positions:
1 Pd 0.000 0.000 0.276
2 Pd 0.000 0.724 0.724
3 Pd 0.000 0.276 0.000
4 Au 0.500 0.386 0.386
5 Au 0.500 0.000 0.614
6 Au 0.500 0.614 0.000
7 Ga 0.000 0.333 0.667
8 Ga 0.500 0.000 0.000
9 Ga 0.000 0.667 0.333

Results
ΔE_f, eV/atom: -0.434
Total moment, μB/f.u.: 0.00
Calculated volume, Å³ per atom: 16.3
Space-group type: No. 189



GaPdAu3 | GGA-PBE | relaxed

Cell lengths 6.523, 6.523, 6.523 Å; angles 88.94, 113.09, 128.78 degrees
Fractional positions:
1 Ga 0.531 0.031 0.000
2 Ga 0.031 0.531 0.000
3 Au 0.530 0.760 0.723
4 Au 0.036 0.260 0.730
5 Au 0.036 0.806 0.277
6 Au 0.973 0.780 0.692
7 Au 0.088 0.280 0.308
8 Au 0.530 0.306 0.270
9 Pd 0.487 0.281 0.706
10 Pd 0.575 0.781 0.294

Results
ΔE_f, eV/atom: -0.043
Total moment, μB/f.u.: 0.00
Calculated volume, Å³ per atom: 18.9
Space-group type: No. 46



GaPdAu2 | GGA-PBE | relaxed

Cell lengths 7.334, 7.334, 5.840 Å; angles 51.11, 51.11, 90.00 degrees
Fractional positions:
1 Au 0.605 0.125 0.250
2 Au 0.875 0.855 0.750
3 Au 0.375 0.395 0.750
4 Au 0.145 0.625 0.250
5 Pd 0.000 0.000 0.000
6 Pd 0.750 0.250 0.500
7 Ga 0.500 0.500 0.000
8 Ga 0.250 0.750 0.500

Results
ΔE_f, eV/atom: -0.130
Total moment, μB/f.u.: 0.00
Calculated volume, Å³ per atom: 18.1
Space-group type: No. 122



Ga2PdAu2 | GGA-PBE | relaxed

Cell lengths 7.035, 7.035, 3.457 Å; angles 90.00, 90.00, 90.00 degrees
Fractional positions:
1 Ga 0.154 0.346 0.000
2 Ga 0.346 0.846 0.000
3 Ga 0.846 0.654 0.000
4 Ga 0.654 0.154 0.000
5 Au 0.352 0.148 0.500
6 Au 0.148 0.648 0.500
7 Au 0.648 0.852 0.500
8 Au 0.852 0.352 0.500
9 Pd 0.500 0.500 0.000
10 Pd 0.000 0.000 0.000

Results
ΔE_f, eV/atom: -0.202
Total moment, μB/f.u.: 0.00
Calculated volume, Å³ per atom: 17.1
Space-group type: No. 127



GaPdAu6 | GGA-PBE | relaxed

Cell lengths 7.201, 6.325, 5.746 Å; angles 52.92, 44.69, 64.29 degrees
Fractional positions:
1 Au 0.241 0.010 0.174
2 Au 0.976 0.504 0.772
3 Au 0.759 0.990 0.826
4 Au 0.555 0.757 0.713
5 Au 0.445 0.243 0.287
6 Au 0.024 0.496 0.228
7 Pd 0.500 0.500 0.500
8 Ga 0.000 0.000 0.000

Results
ΔE_f, eV/atom: -0.020
Total moment, μB/f.u.: 0.00
Calculated volume, Å³ per atom: 18.4
Space-group type: No. 2



Ga2PdAu | GGA-PBE | relaxed

Cell lengths 3.253, 8.126, 10.380 Å; angles 90.00, 90.00, 90.00 degrees
Fractional positions:
1 Au 0.250 0.464 0.885
2 Au 0.250 0.036 0.385
3 Au 0.750 0.964 0.615
4 Au 0.750 0.536 0.115
5 Ga 0.250 0.764 0.987
6 Ga 0.750 0.236 0.013
7 Ga 0.750 0.264 0.513
8 Ga 0.250 0.321 0.256
9 Ga 0.750 0.821 0.244
10 Ga 0.250 0.179 0.756
11 Ga 0.750 0.679 0.744
12 Ga 0.250 0.736 0.487
13 Pd 0.250 0.473 0.619
14 Pd 0.750 0.527 0.381
15 Pd 0.250 0.027 0.119
16 Pd 0.750 0.973 0.881

Results
ΔE_f, eV/atom: -0.357
Total moment, μB/f.u.: 0.00
Calculated volume, Å³ per atom: 17.2
Space-group type: No. 62



GaPd3Au12 | GGA-PBE | relaxed

Cell lengths 4.140, 4.140, 16.258 Å; angles 90.00, 90.00, 90.00 degrees
Fractional positions:
1 Au 0.500 0.000 0.125
2 Au 0.500 0.500 0.000
3 Au 0.500 0.500 0.500
4 Au 0.500 0.000 0.875
5 Au 0.500 0.000 0.625
6 Au 0.500 0.500 0.251
7 Au 0.000 0.500 0.875
8 Au 0.000 0.500 0.125
9 Au 0.000 0.500 0.375
10 Au 0.000 0.500 0.625
11 Au 0.500 0.000 0.375
12 Au 0.500 0.500 0.749
13 Ga 0.000 0.000 0.000
14 Pd 0.000 0.000 0.250
15 Pd 0.000 0.000 0.500
16 Pd 0.000 0.000 0.750

Results
ΔE_f, eV/atom: -0.062
Total moment, μB/f.u.: 0.00
Calculated volume, Å³ per atom: 17.4
Space-group type: No. 123



GaPdAu6 | GGA-PBE | relaxed

Cell lengths 4.066, 4.066, 8.935 Å; angles 76.85, 76.85, 90.00 degrees
Fractional positions:
1 Au 0.380 0.880 0.240
2 Au 0.255 0.255 0.490
3 Au 0.880 0.380 0.240
4 Au 0.620 0.120 0.760
5 Au 0.120 0.620 0.760
6 Au 0.745 0.745 0.510
7 Ga 0.000 0.000 0.000
8 Pd 0.500 0.500 0.000

Results
ΔE_f, eV/atom: -0.113
Total moment, μB/f.u.: 0.00
Calculated volume, Å³ per atom: 17.5
Space-group type: No. 139



Ga2Pd12Au5 | GGA-PBE | relaxed

Cell lengths 7.701, 9.699, 6.444 Å; angles 130.36, 90.00, 113.39 degrees
Fractional positions:
1 Pd 0.910 0.820 0.713
2 Pd 0.090 0.180 0.287
3 Pd 0.341 0.305 0.061
4 Pd 0.176 0.759 0.419
5 Pd 0.550 0.100 0.795
6 Pd 0.659 0.695 0.939
7 Pd 0.036 0.695 0.939
8 Pd 0.583 0.759 0.419
9 Pd 0.417 0.241 0.581
10 Pd 0.824 0.241 0.581
11 Pd 0.964 0.305 0.061
12 Pd 0.450 0.900 0.205
13 Ga 0.290 0.000 0.000
14 Ga 0.710 0.000 0.000
15 Au 0.303 0.607 0.596
16 Au 0.000 0.000 0.500
17 Au 0.239 0.479 0.900
18 Au 0.761 0.521 0.100
19 Au 0.697 0.393 0.404

Results
ΔE_f, eV/atom: -0.153
Total moment, μB/f.u.: 0.00
Calculated volume, Å³ per atom: 16.5
Space-group type: No. 12



GaPd5Au6 | GGA-PBE | relaxed

Cell lengths 9.485, 4.972, 4.969 Å; angles 59.98, 85.09, 80.15 degrees
Fractional positions:
1 Au 0.750 0.752 0.000
2 Au 0.250 0.248 0.000
3 Au 0.250 0.584 0.332
4 Au 0.750 0.084 0.332
5 Au 0.750 0.416 0.668
6 Au 0.250 0.916 0.668
7 Pd 0.000 0.334 0.333
8 Pd 0.500 0.500 0.000
9 Pd 0.500 0.833 0.334
10 Pd 0.500 0.167 0.666
11 Pd 0.000 0.666 0.667
12 Ga 0.000 0.000 0.000

Results
ΔE_f, eV/atom: -0.138
Total moment, μB/f.u.: 0.00
Calculated volume, Å³ per atom: 16.7
Space-group type: No. 12



Ga6Pd3Au | GGA-PBE | relaxed

Cell lengths 6.836, 6.154, 8.840 Å; angles 90.00, 73.95, 90.00 degrees
Fractional positions:
1 Ga 0.655 0.180 0.618
2 Ga 0.219 0.989 0.695
3 Ga 0.667 0.127 0.927
4 Ga 0.845 0.680 0.882
5 Ga 0.155 0.320 0.118
6 Ga 0.719 0.511 0.195
7 Ga 0.781 0.011 0.305
8 Ga 0.167 0.373 0.427
9 Ga 0.345 0.820 0.382
10 Ga 0.333 0.873 0.073
11 Ga 0.833 0.627 0.573
12 Ga 0.281 0.489 0.805
13 Pd 0.500 0.500 0.000
14 Pd 0.978 0.329 0.731
15 Pd 0.000 0.000 0.500
16 Pd 0.022 0.671 0.269
17 Pd 0.478 0.171 0.231
18 Pd 0.522 0.829 0.769
19 Au 0.500 0.500 0.500
20 Au 0.000 0.000 0.000

Results
ΔE_f, eV/atom: -0.360
Total moment, μB/f.u.: 0.00
Calculated volume, Å³ per atom: 17.9
Space-group type: No. 14



Ga2Pd2Au7 | GGA-PBE | relaxed

Cell lengths 5.733, 7.201, 7.201 Å; angles 70.11, 54.27, 54.27 degrees
Fractional positions:
1 Au 0.500 0.000 0.000
2 Au 0.327 0.896 0.455
3 Au 0.875 0.429 0.429
4 Au 0.673 0.545 0.104
5 Au 0.673 0.104 0.545
6 Au 0.125 0.571 0.571
7 Au 0.327 0.455 0.896
8 Ga 0.479 0.775 0.775
9 Ga 0.521 0.225 0.225
10 Pd 0.000 0.816 0.184
11 Pd 0.000 0.184 0.816

Results
ΔE_f, eV/atom: -0.132
Total moment, μB/f.u.: 0.00
Calculated volume, Å³ per atom: 17.8
Space-group type: No. 12



GaPd14Au | GGA-PBE | relaxed

Cell lengths 5.577, 5.577, 9.166 Å; angles 90.00, 90.00, 119.72 degrees
Fractional positions:
1 Pd 0.377 0.623 0.746
2 Pd 0.377 0.623 0.254
3 Pd 0.040 0.457 0.500
4 Pd 0.875 0.125 0.753
5 Pd 0.543 0.960 0.500
6 Pd 0.708 0.292 0.000
7 Pd 0.378 0.128 0.252
8 Pd 0.378 0.128 0.748
9 Pd 0.208 0.792 0.000
10 Pd 0.707 0.791 0.000
11 Pd 0.209 0.293 0.000
12 Pd 0.875 0.125 0.247
13 Pd 0.872 0.622 0.252
14 Pd 0.872 0.622 0.748
15 Au 0.041 0.959 0.500
16 Ga 0.542 0.458 0.500

Results
ΔE_f, eV/atom: -0.102
Total moment, μB/f.u.: 0.00
Calculated volume, Å³ per atom: 15.5
Space-group type: No. 38



Ga2PdAu | GGA-PBE | relaxed

Cell lengths 3.296, 4.442, 4.442 Å; angles 90.00, 90.00, 90.00 degrees
Fractional positions:
1 Pd 0.500 0.500 0.500
2 Ga 0.000 0.500 0.000
3 Ga 0.000 0.000 0.500
4 Au 0.500 0.000 0.000

Results
ΔE_f, eV/atom: -0.295
Total moment, μB/f.u.: 0.00
Calculated volume, Å³ per atom: 16.3
Space-group type: No. 123



Pm2Ga3PdAu12 | GGA-PBE | relaxed

Cell lengths 11.633, 11.633, 11.633 Å; angles 32.00, 32.00, 32.00 degrees
Fractional positions:
1 Ga 0.500 0.000 0.000
2 Ga 0.000 0.500 0.000
3 Ga 0.000 0.000 0.500
4 Au 0.595 0.595 0.159
5 Au 0.872 0.414 0.872
6 Au 0.595 0.159 0.595
7 Au 0.586 0.128 0.128
8 Au 0.872 0.872 0.414
9 Au 0.128 0.586 0.128
10 Au 0.159 0.595 0.595
11 Au 0.128 0.128 0.586
12 Au 0.405 0.405 0.841
13 Au 0.841 0.405 0.405
14 Au 0.405 0.841 0.405
15 Au 0.414 0.872 0.872
16 Pd 0.000 0.000 0.000
17 Pm 0.360 0.360 0.360
18 Pm 0.640 0.640 0.640

Results
ΔE_f, eV/atom: -0.231
Total moment, μB/f.u.: 0.00
Calculated volume, Å³ per atom: 21.8
Space-group type: No. 166



PmGa4Pd2Au | GGA-PBE | relaxed

Cell lengths 4.335, 4.335, 9.377 Å; angles 76.64, 76.64, 60.00 degrees
Fractional positions:
1 Pd 0.756 0.756 0.733
2 Pd 0.244 0.244 0.267
3 Ga 0.124 0.124 0.628
4 Ga 0.603 0.603 0.191
5 Ga 0.876 0.876 0.372
6 Ga 0.397 0.397 0.809
7 Pm 0.000 0.000 0.000
8 Au 0.500 0.500 0.500

Results
ΔE_f, eV/atom: -0.546
Total moment, μB/f.u.: 0.00
Calculated volume, Å³ per atom: 18.4
Space-group type: No. 166



Pm2Ga4Pd3Au | GGA-PBE | relaxed

Cell lengths 4.282, 4.282, 10.674 Å; angles 90.00, 90.00, 90.00 degrees
Fractional positions:
1 Pd 0.500 0.000 0.869
2 Pd 0.000 0.000 0.500
3 Pd 0.000 0.500 0.131
4 Pm 0.000 0.500 0.758
5 Pm 0.500 0.000 0.242
6 Ga 0.000 0.000 0.000
7 Ga 0.500 0.500 0.000
8 Ga 0.000 0.500 0.363
9 Ga 0.500 0.000 0.637
10 Au 0.500 0.500 0.500

Results
ΔE_f, eV/atom: -0.762
Total moment, μB/f.u.: 0.00
Calculated volume, Å³ per atom: 19.6
Space-group type: No. 115